# Ta2RuAu

A relaxed structure of Ta2RuAu (PBE-GGA, Alexandria via LeMat-Bulk).

```
Ta2RuAu
1.0
6.497 0.000 0.000
0.000 6.497 0.000
0.000 0.000 6.497
Ta Ru Au
8 4 4
Cartesian
1.624 1.624 1.624
1.624 1.624 4.873
1.624 4.873 1.624
1.624 4.873 4.873
4.873 1.624 1.624
4.873 1.624 4.873
4.873 4.873 1.624
4.873 4.873 4.873
0.000 0.000 0.000
0.000 3.249 3.249
3.249 0.000 3.249
3.249 3.249 0.000
0.000 0.000 3.249
0.000 3.249 0.000
3.249 0.000 0.000
3.249 3.249 3.249
```

Properties
As for the formation energy: 88 meV/atom.

***

# CdNi3

A relaxed structure of CdNi3 (PBE-GGA, Alexandria via LeMat-Bulk).

```
CdNi3
1.0
8.356 0.000 0.000
-4.178 7.237 0.000
0.000 0.000 2.615
Cd Ni
3 9
Cartesian
0.000 0.000 0.000
0.000 4.824 1.743
4.178 2.412 0.872
-2.089 3.618 0.000
0.000 2.412 0.872
-2.089 6.031 0.872
2.089 1.206 1.743
4.178 0.000 0.000
2.089 3.618 0.000
2.089 6.031 0.872
6.267 1.206 1.743
4.178 4.824 1.743
```

Properties
As for the formation energy: 241 meV/atom.

***

# CePuBi

A relaxed structure of CePuBi (PBE-GGA, Alexandria via LeMat-Bulk).

```
CePuBi
1.0
5.892 0.000 0.000
0.000 3.457 0.000
0.000 0.000 8.463
Ce Pu Bi
2 2 2
Cartesian
0.000 0.000 0.000
2.946 0.000 0.000
1.473 0.000 3.058
4.419 0.000 5.405
1.473 1.728 5.932
4.419 1.728 2.531
```

Properties
As for the formation energy: -207 meV/atom.

***

Q: Number 1 is which compound?
A: Ta2RuAu

***

Repeat the second record exactly.
# CdNi3

A relaxed structure of CdNi3 (PBE-GGA, Alexandria via LeMat-Bulk).

```
CdNi3
1.0
8.356 0.000 0.000
-4.178 7.237 0.000
0.000 0.000 2.615
Cd Ni
3 9
Cartesian
0.000 0.000 0.000
0.000 4.824 1.743
4.178 2.412 0.872
-2.089 3.618 0.000
0.000 2.412 0.872
-2.089 6.031 0.872
2.089 1.206 1.743
4.178 0.000 0.000
2.089 3.618 0.000
2.089 6.031 0.872
6.267 1.206 1.743
4.178 4.824 1.743
```

Properties
As for the formation energy: 241 meV/atom.